(1)
! WBrCl2 | Alexandria | PBE | relaxed; values from VASP
&SYSTEM
  ibrav = 0, nat = 4, ntyp = 3
/
ATOMIC_SPECIES
W 183.84 W.upf
Cl 35.45 Cl.upf
Br 79.90 Br.upf
ATOMIC_POSITIONS crystal
W 0.500 0.500 0.500
Cl 0.887 0.887 0.887
Cl 0.113 0.113 0.113
Br 0.000 0.000 0.000
CELL_PARAMETERS angstrom
8.213 -5.631 4.569
7.715 -7.487 2.115
9.574 -5.001 1.837
! - formation energy (no corrections) (eV per atom) = -0.06
! - space-group type = No. 166
! - energy relative to the lowest polymorph listed for this composition (meV per atom) = 287

---

(2)
! CsRbCuHg2 | Alexandria | PBE | relaxed; values from VASP
&SYSTEM
  ibrav = 0, nat = 5, ntyp = 4
/
ATOMIC_SPECIES
Hg 200.59 Hg.upf
Cu 63.55 Cu.upf
Rb 85.47 Rb.upf
Cs 132.91 Cs.upf
ATOMIC_POSITIONS crystal
Hg 0.000 0.500 0.000
Hg 0.500 0.000 0.000
Cu 0.000 0.000 0.000
Rb 0.000 0.000 0.500
Cs 0.500 0.500 0.500
CELL_PARAMETERS angstrom
5.453 0.000 0.000
0.000 5.453 0.000
0.000 0.000 6.137
! - space-group type = No. 123
! - ΔE_f (eV per atom) = 0.05

---

(3)
! Pr2GdCu | Alexandria | PBE | relaxed; values from VASP
&SYSTEM
  ibrav = 0, nat = 4, ntyp = 3
/
ATOMIC_SPECIES
Gd 157.25 Gd.upf
Cu 63.55 Cu.upf
Pr 140.91 Pr.upf
ATOMIC_POSITIONS crystal
Gd 0.500 0.500 0.500
Cu 0.000 0.000 0.000
Pr 0.736 0.736 0.793
Pr 0.264 0.264 0.207
CELL_PARAMETERS angstrom
-2.534 -2.672 0.321
0.726 -3.397 -1.264
3.243 -4.579 8.768
! - space-group type = No. 166
! - energy relative to the lowest polymorph listed for this composition (meV per atom) = 101
! - ΔE_f (eV per atom) = 0.06

---

(4)
! Pm6As3P2Cl | Alexandria | PBE | relaxed; values from VASP
&SYSTEM
  ibrav = 0, nat = 12, ntyp = 4
/
ATOMIC_SPECIES
P 30.97 P.upf
Pm 145.00 Pm.upf
Cl 35.45 Cl.upf
As 74.92 As.upf
ATOMIC_POSITIONS crystal
P 0.166 0.331 0.332
P 0.834 0.669 0.668
Pm 0.673 0.094 0.346
Pm 0.997 0.733 0.993
Pm 0.003 0.267 0.007
Pm 0.669 0.579 0.338
Pm 0.327 0.906 0.654
Pm 0.331 0.421 0.662
Cl 0.500 0.000 0.000
As 0.163 0.835 0.326
As 0.500 0.500 0.000
As 0.837 0.165 0.674
CELL_PARAMETERS angstrom
-1.262 -3.772 1.287
6.140 -3.577 -4.462
4.564 3.328 7.439
! - formation energy (no corrections) (eV per atom) = -1.58
! - space-group type = No. 12

---

(5)
! MoPbSCl2 | Alexandria | PBE | relaxed; values from VASP
&SYSTEM
  ibrav = 0, nat = 5, ntyp = 4
/
ATOMIC_SPECIES
Cl 35.45 Cl.upf
Pb 207.20 Pb.upf
S 32.06 S.upf
Mo 95.94 Mo.upf
ATOMIC_POSITIONS crystal
Cl 0.500 0.000 0.000
Cl 0.000 0.000 0.500
Pb 0.000 0.500 0.000
S 0.000 0.000 0.000
Mo 0.500 0.500 0.500
CELL_PARAMETERS angstrom
4.824 0.000 0.000
0.000 5.761 0.000
0.000 0.000 4.824
! - formation energy (no corrections) (eV per atom) = 0.88
! - space-group type = No. 123
! - energy relative to the lowest polymorph listed for this composition (meV per atom) = 1059

---

(6)
! Tl14In2Te9 | Alexandria | PBE | relaxed; values from VASP
&SYSTEM
  ibrav = 0, nat = 25, ntyp = 3
/
ATOMIC_SPECIES
Tl 204.38 Tl.upf
Te 127.60 Te.upf
In 114.82 In.upf
ATOMIC_POSITIONS crystal
Tl 0.021 0.676 0.897
Tl 0.313 0.891 0.601
Tl 0.000 0.000 0.741
Tl 0.655 0.979 0.897
Tl 0.109 0.422 0.601
Tl 0.422 0.313 0.399
Tl 0.687 0.109 0.399
Tl 0.891 0.578 0.399
Tl 0.979 0.324 0.103
Tl 0.000 0.000 0.259
Tl 0.578 0.687 0.601
Tl 0.345 0.021 0.103
Tl 0.324 0.345 0.897
Tl 0.676 0.655 0.103
Te 0.097 0.352 0.357
Te 0.000 0.000 0.000
Te 0.648 0.745 0.357
Te 0.255 0.903 0.357
Te 0.667 0.333 0.960
Te 0.352 0.255 0.643
Te 0.903 0.648 0.643
Te 0.333 0.667 0.040
Te 0.745 0.097 0.643
In 0.667 0.333 0.732
In 0.333 0.667 0.268
CELL_PARAMETERS angstrom
-5.641 -7.627 -0.498
8.581 -0.165 -4.073
5.244 -4.613 11.236
! - formation energy (no corrections) (eV per atom) = -0.24
! - space-group type = No. 147

---

(7)
! TcHg2P | Alexandria | PBE | relaxed; values from VASP
&SYSTEM
  ibrav = 0, nat = 4, ntyp = 3
/
ATOMIC_SPECIES
Hg 200.59 Hg.upf
Tc 98.00 Tc.upf
P 30.97 P.upf
ATOMIC_POSITIONS crystal
Hg 0.000 0.000 0.251
Hg 0.000 0.000 0.749
Tc 0.500 0.500 0.500
P 0.500 0.500 0.000
CELL_PARAMETERS angstrom
3.790 0.000 0.000
0.000 3.790 0.000
0.000 0.000 5.252
! - space-group type = No. 123
! - ΔE_f (eV per atom) = 0.73

---

(8)
! Tb2NdDyN4 | Alexandria | PBE | relaxed; values from VASP
&SYSTEM
  ibrav = 0, nat = 8, ntyp = 4
/
ATOMIC_SPECIES
N 14.01 N.upf
Nd 144.24 Nd.upf
Dy 162.50 Dy.upf
Tb 158.93 Tb.upf
ATOMIC_POSITIONS crystal
N 0.000 0.243 0.744
N 0.500 0.754 0.748
N 0.000 0.757 0.256
N 0.500 0.246 0.252
Nd 0.500 0.500 0.000
Dy 0.000 0.000 0.000
Tb 0.500 0.000 0.500
Tb 0.000 0.500 0.500
CELL_PARAMETERS angstrom
-0.495 -2.538 2.407
3.364 -3.846 -3.364
3.631 2.995 3.906
! - formation energy (no corrections) (eV per atom) = -1.58
! - space-group type = No. 10

---

(9)
! RbLiAg2Br4 | Alexandria | PBE | relaxed; values from VASP
&SYSTEM
  ibrav = 0, nat = 8, ntyp = 4
/
ATOMIC_SPECIES
Br 79.90 Br.upf
Ag 107.87 Ag.upf
Rb 85.47 Rb.upf
Li 6.94 Li.upf
ATOMIC_POSITIONS crystal
Br 0.546 0.479 0.849
Br 0.454 0.151 0.521
Br 0.126 0.849 0.479
Br 0.874 0.521 0.151
Ag 0.831 0.669 0.669
Ag 0.169 0.331 0.331
Rb 0.000 0.000 0.000
Li 0.500 0.500 0.500
CELL_PARAMETERS angstrom
-4.443 -3.981 3.986
-1.118 -6.704 -1.483
2.416 -4.013 5.142
! - formation energy (no corrections) (eV per atom) = -0.99
! - space-group type = No. 23

---

(10)
! ZrGaMoC2 | Alexandria | PBE | relaxed; values from VASP
&SYSTEM
  ibrav = 0, nat = 5, ntyp = 4
/
ATOMIC_SPECIES
Mo 95.94 Mo.upf
C 12.01 C.upf
Zr 91.22 Zr.upf
Ga 69.72 Ga.upf
ATOMIC_POSITIONS crystal
Mo 0.000 0.500 0.000
C 0.500 0.000 0.000
C 0.000 0.000 0.500
Zr 0.500 0.500 0.500
Ga 0.000 0.000 0.000
CELL_PARAMETERS angstrom
-0.203 -3.494 1.938
4.819 -0.036 0.440
-0.304 1.949 3.481
! - space-group type = No. 123
! - ΔE_f (eV per atom) = 2.02

---

(11)
! MgTiPt2 | Alexandria | PBE | relaxed; values from VASP
&SYSTEM
  ibrav = 0, nat = 8, ntyp = 3
/
ATOMIC_SPECIES
Mg 24.30 Mg.upf
Pt 195.08 Pt.upf
Ti 47.87 Ti.upf
ATOMIC_POSITIONS crystal
Mg 0.500 0.500 0.000
Mg 0.250 0.750 0.500
Pt 0.375 0.353 0.750
Pt 0.875 0.897 0.750
Pt 0.103 0.625 0.250
Pt 0.647 0.125 0.250
Ti 0.000 0.000 0.000
Ti 0.750 0.250 0.500
CELL_PARAMETERS angstrom
-1.913 -5.330 -4.262
6.041 0.736 -3.632
3.325 -4.130 -2.221
! - space-group type = No. 122
! - ΔE_f (eV per atom) = -0.46

---

(12)
! ErPuPa2N6 | Alexandria | PBE | relaxed; values from VASP
&SYSTEM
  ibrav = 0, nat = 10, ntyp = 4
/
ATOMIC_SPECIES
N 14.01 N.upf
Pa 231.04 Pa.upf
Er 167.26 Er.upf
Pu 244.00 Pu.upf
ATOMIC_POSITIONS crystal
N 0.405 0.696 0.758
N 0.625 0.210 0.243
N 0.210 0.922 0.243
N 0.922 0.625 0.243
N 0.696 0.141 0.758
N 0.141 0.405 0.758
Pa 0.529 0.529 0.414
Pa 0.025 0.025 0.926
Er 0.800 0.800 0.600
Pu 0.309 0.309 0.073
CELL_PARAMETERS angstrom
-2.871 4.283 -2.945
-5.932 0.230 0.130
-2.735 4.379 3.049
! - formation energy (no corrections) (eV per atom) = -1.39
! - space-group type = No. 146

---

(13)
! MgWBr2 | Alexandria | PBE | relaxed; values from VASP
&SYSTEM
  ibrav = 0, nat = 4, ntyp = 3
/
ATOMIC_SPECIES
W 183.84 W.upf
Br 79.90 Br.upf
Mg 24.30 Mg.upf
ATOMIC_POSITIONS crystal
W 0.750 0.750 0.750
Br 0.022 0.022 0.022
Br 0.478 0.478 0.478
Mg 0.250 0.250 0.250
CELL_PARAMETERS angstrom
-6.075 -5.514 6.325
-3.262 -7.070 6.833
-3.957 -4.373 8.517
! - formation energy (no corrections) (eV per atom) = 0.34
! - space-group type = No. 166
! - energy relative to the lowest polymorph listed for this composition (meV per atom) = 386

---

(14)
! NaLa2OsPt | Alexandria | PBE | relaxed; values from VASP
&SYSTEM
  ibrav = 0, nat = 5, ntyp = 4
/
ATOMIC_SPECIES
Os 190.23 Os.upf
Pt 195.08 Pt.upf
La 138.91 La.upf
Na 22.99 Na.upf
ATOMIC_POSITIONS crystal
Os 0.500 0.500 0.500
Pt 0.000 0.500 0.000
La 0.500 0.000 0.000
La 0.000 0.000 0.500
Na 0.000 0.000 0.000
CELL_PARAMETERS angstrom
5.458 0.000 0.000
0.000 4.456 0.000
0.000 0.000 5.458
! - space-group type = No. 123
! - ΔE_f (eV per atom) = 1.12

---

(15)
! Cd8NiBi2 | Alexandria | PBE | relaxed; values from VASP
&SYSTEM
  ibrav = 0, nat = 11, ntyp = 3
/
ATOMIC_SPECIES
Cd 112.41 Cd.upf
Bi 208.98 Bi.upf
Ni 58.69 Ni.upf
ATOMIC_POSITIONS crystal
Cd 0.999 0.245 0.998
Cd 0.822 0.170 0.644
Cd 0.607 0.162 0.214
Cd 0.178 0.830 0.356
Cd 0.393 0.838 0.786
Cd 0.001 0.755 0.002
Cd 0.390 0.362 0.780
Cd 0.610 0.638 0.220
Bi 0.803 0.691 0.606
Bi 0.197 0.309 0.394
Ni 0.500 0.000 0.000
CELL_PARAMETERS angstrom
-4.084 -2.183 -0.184
1.417 -3.097 5.282
-1.163 6.446 7.714
! - space-group type = No. 12
! - ΔE_f (eV per atom) = 0.05

---

(16)
! ZnReOs2 | Alexandria | PBE | relaxed; values from VASP
&SYSTEM
  ibrav = 0, nat = 4, ntyp = 3
/
ATOMIC_SPECIES
Re 186.21 Re.upf
Os 190.23 Os.upf
Zn 65.41 Zn.upf
ATOMIC_POSITIONS crystal
Re 0.500 0.500 0.250
Os 0.000 0.000 0.003
Os 0.000 0.000 0.497
Zn 0.500 0.500 0.750
CELL_PARAMETERS angstrom
-0.502 -0.607 -2.684
0.119 -2.731 0.595
-7.267 -0.021 1.363
! - space-group type = No. 123
! - ΔE_f (eV per atom) = 0.14

---

(17)
! Dy2CoOs | Alexandria | PBE | relaxed; values from VASP
&SYSTEM
  ibrav = 0, nat = 4, ntyp = 3
/
ATOMIC_SPECIES
Dy 162.50 Dy.upf
Co 58.93 Co.upf
Os 190.23 Os.upf
ATOMIC_POSITIONS crystal
Dy 0.000 0.000 0.248
Dy 0.000 0.000 0.752
Co 0.500 0.500 0.000
Os 0.500 0.500 0.500
CELL_PARAMETERS angstrom
-1.916 2.544 -1.162
-2.678 -1.263 1.650
1.592 3.655 5.380
! - space-group type = No. 123
! - ΔE_f (eV per atom) = -0.12

---

(18)
! Mg5Ag | Alexandria | PBE | relaxed; values from VASP
&SYSTEM
  ibrav = 0, nat = 6, ntyp = 2
/
ATOMIC_SPECIES
Mg 24.30 Mg.upf
Ag 107.87 Ag.upf
ATOMIC_POSITIONS crystal
Mg 0.500 0.500 0.500
Mg 0.500 0.000 0.500
Mg 0.000 0.500 0.500
Mg 0.667 0.333 0.000
Mg 0.333 0.667 0.000
Ag 0.000 0.000 0.000
CELL_PARAMETERS angstrom
-4.606 -3.210 0.639
4.516 -2.046 -2.711
1.885 -1.808 4.503
! - space-group type = No. 191
! - ΔE_f (eV per atom) = 0.21

---

(19)
! CdReHg2 | Alexandria | PBE | relaxed; values from VASP
&SYSTEM
  ibrav = 0, nat = 4, ntyp = 3
/
ATOMIC_SPECIES
Hg 200.59 Hg.upf
Re 186.21 Re.upf
Cd 112.41 Cd.upf
ATOMIC_POSITIONS crystal
Hg 0.510 0.510 0.510
Hg 0.990 0.990 0.990
Re 0.250 0.250 0.250
Cd 0.750 0.750 0.750
CELL_PARAMETERS angstrom
11.270 0.011 0.007
10.889 2.906 0.007
10.889 1.434 2.528
! - space-group type = No. 166
! - ΔE_f (eV per atom) = 0.62

---

(20)
! NaAcBr3 | Alexandria | PBE | relaxed; values from VASP
&SYSTEM
  ibrav = 0, nat = 10, ntyp = 3
/
ATOMIC_SPECIES
Br 79.90 Br.upf
Ac 227.00 Ac.upf
Na 22.99 Na.upf
ATOMIC_POSITIONS crystal
Br 0.446 0.052 0.739
Br 0.960 0.247 0.209
Br 0.040 0.753 0.791
Br 0.724 0.430 0.763
Br 0.554 0.948 0.261
Br 0.276 0.570 0.237
Ac 0.133 0.178 0.520
Ac 0.867 0.822 0.480
Na 0.664 0.646 0.039
Na 0.336 0.354 0.961
CELL_PARAMETERS angstrom
7.554 -0.395 -0.194
3.452 6.112 -0.188
3.459 1.792 7.488
! - formation energy (no corrections) (eV per atom) = -1.59
! - space-group type = No. 2

---

The records above yield magnetization values of 0.00; 0.00; 7.20; 0.00; 4.21; 0.00; 1.07; 0.00; 0.00; 0.00; 0.00; 3.00; 0.00; 0.05; 0.00; 0.00; 0.37; 0.00; 0.00; 1.00 μB per formula unit, respectively.